[1]
First-principles (GGA-PBE) data for an optimized crystal structure of MgInBr2, as listed in the Alexandria database.

Output
Formation energy from raw total energies, eV/atom: -0.761
Symmetry: R3m (160)
Distance to the lowest polymorph of the same formula, meV per atom: 153.0

Cell and atoms, written as extended XYZ:
```
4
Lattice="9.441 0.021 0.013 8.632 3.825 0.013 8.632 1.837 3.355" Properties=species:S:1:pos:R:3 pbc="T T T"
Br 6.111 1.301 0.774
Br 0.773 0.164 0.098
Mg 19.999 4.256 2.531
In 13.174 2.804 1.668
```


[2]
First-principles (GGA-PBE) data for an optimized crystal structure of MgIn2Br, as listed in the Alexandria database.

Output
Formation energy from raw total energies, eV/atom: -0.275
Symmetry: Cm (8)
Distance to the lowest polymorph of the same formula, meV per atom: 69.6

Cell and atoms, written as extended XYZ:
```
4
Lattice="6.229 0.001 0.386 5.295 3.281 0.386 2.968 0.845 5.650" Properties=species:S:1:pos:R:3 pbc="T T T"
In 2.988 0.851 1.537
In 3.263 0.929 5.661
Br 11.170 3.182 3.940
Mg 7.285 2.075 4.143
```